Record 1
Below is a relaxed structure of CeNi3, with properties calculated at the PBE-GGA level.

```
data_CeNi3
_chemical_formula_sum 'Ce6 Ni18'
_space_group_name_H-M_alt 'P 63/m m c'
_space_group_IT_number 194
_space_group_name_Hall '-P 6c 2c'
_cell_length_a 4.9367
_cell_length_b 4.9367
_cell_length_c 16.5420
_cell_angle_alpha 90.00
_cell_angle_beta 90.00
_cell_angle_gamma 120.00
loop_
_atom_site_label
_atom_site_fract_x
_atom_site_fract_y
_atom_site_fract_z
Ce1 0.3333 0.6667 0.0414
Ce2 0.3333 0.6667 0.2500
Ni1 0.0000 0.0000 0.0000
Ni2 0.0000 0.0000 0.2500
Ni3 0.1664 0.3329 0.6270
Ni4 0.3333 0.6667 0.7500
```

DFT total energy: -6.209 eV/atom



Record 2
Below is a relaxed structure of Cs3SnPb4, with properties calculated at the PBE-GGA level.

```
data_Cs3SnPb4
_chemical_formula_sum 'Cs6 Sn2 Pb8'
_space_group_name_H-M_alt 'I m m 2'
_space_group_IT_number 44
_cell_length_a 6.976
_cell_length_b 8.761
_cell_length_c 11.628
_cell_angle_alpha 90.00
_cell_angle_beta 90.00
_cell_angle_gamma 90.00
loop_
_space_group_symop_operation_xyz
'x,y,z'
'-x,-y,z'
'-x,y,z'
'x,-y,z'
'x+1/2,y+1/2,z+1/2'
'-x+1/2,-y+1/2,z+1/2'
'-x+1/2,y+1/2,z+1/2'
'x+1/2,-y+1/2,z+1/2'
loop_
_atom_site_label
_atom_site_fract_x
_atom_site_fract_y
_atom_site_fract_z
Cs1 0.000 0.000 0.000
Cs2 0.000 0.234 0.635
Sn1 0.000 0.500 0.079
Pb1 0.000 0.318 0.307
Pb2 0.240 0.000 0.364
```

DFT total energy: -2.827 eV/atom



Record 3
Below is a relaxed structure of TaCoPd, with properties calculated at the PBE-GGA level.

```
data_TaCoPd
_chemical_formula_sum 'Ta2 Co2 Pd2'
_space_group_name_H-M_alt 'P m m a'
_space_group_IT_number 51
_cell_length_a 4.986
_cell_length_b 2.901
_cell_length_c 6.321
_cell_angle_alpha 90.00
_cell_angle_beta 90.00
_cell_angle_gamma 90.00
loop_
_space_group_symop_operation_xyz
'x,y,z'
'-x,-y,-z'
'-x+1/2,-y,z'
'x+1/2,y,-z'
'x+1/2,-y,-z'
'-x+1/2,y,z'
'-x,y,-z'
'x,-y,z'
loop_
_atom_site_label
_atom_site_fract_x
_atom_site_fract_y
_atom_site_fract_z
Ta1 0.250 0.000 0.171
Co1 0.250 0.500 0.867
Pd1 0.000 0.500 0.500
```

Energy relative to the lowest polymorph listed for this composition: 285 meV/atom